Compound: Ac3PmTm
Source: Alexandria via LeMat-Bulk
Functional: PBE
Structure: optimized geometry

Geometry as extended XYZ:
```
10
Lattice="5.9880 -3.8056 0.0000 5.9880 3.8056 0.0000 -2.0211 0.0000 9.0283" Properties=species:S:1:pos:R:3 pbc="T T T"
Ac 2.4458 2.0137 7.7062
Ac 2.9868 0.0000 4.5302
Ac 7.5091 2.0137 1.3221
Ac 2.4458 -2.0137 7.7062
Ac 6.9682 0.0000 4.4981
Ac 7.5091 -2.0137 1.3221
Pm -0.4531 0.0000 6.4496
Pm 10.4081 0.0000 2.5788
Tm 4.6604 0.0000 1.5318
Tm 5.2946 0.0000 7.4965
```

## Properties
space-group type	C2/m (12)
total energy	-20.44	eV/f.u.
volume	41.1	A^3/atom
energy relative to the elements	0.2211	eV per atom